<one>
{"formula": "CdSnSeO", "functional": "PBE", "state": "relaxed", "spacegroup": "Pnma", "lattice_angstrom": [[-4.402, 2.121, 4.064], [2.215, -1.032, 2.937], [6.344, 13.348, -0.095]], "species": ["Sn", "Sn", "Sn", "Sn", "O", "O", "O", "O", "Cd", "Cd", "Cd", "Cd", "Se", "Se", "Se", "Se"], "fractional_positions": [[0.161, 0.250, 0.307], [0.339, 0.750, 0.807], [0.661, 0.250, 0.193], [0.839, 0.750, 0.693], [0.455, 0.250, 0.083], [0.045, 0.750, 0.583], [0.955, 0.250, 0.417], [0.545, 0.750, 0.917], [0.295, 0.750, 0.037], [0.205, 0.250, 0.537], [0.795, 0.750, 0.463], [0.705, 0.250, 0.963], [0.601, 0.250, 0.606], [0.101, 0.250, 0.894], [0.399, 0.750, 0.394], [0.899, 0.750, 0.106]]}

---

<two>
{"formula": "CdSnSeO", "functional": "PBE", "state": "relaxed", "spacegroup": "P4/nmm", "lattice_angstrom": [[-3.856, -1.496, -3.739], [0.340, -5.279, 1.762], [-4.845, 1.196, 4.517]], "species": ["Cd", "Cd", "Se", "Se", "Sn", "Sn", "O", "O"], "fractional_positions": [[0.250, 0.250, 0.834], [0.750, 0.750, 0.166], [0.250, 0.750, 0.500], [0.750, 0.250, 0.500], [0.250, 0.250, 0.424], [0.750, 0.750, 0.576], [0.250, 0.250, 0.136], [0.750, 0.750, 0.864]]}

---

Which one sits at the top of the stability order? <one> does.

---

<one>
{"formula": "HoSiHO4", "functional": "PBE", "state": "relaxed", "spacegroup": "R-3", "lattice_angstrom": [[9.174, 0.156, 0.385], [-3.689, 8.402, 0.385], [-3.689, -5.754, 6.134]], "species": ["O", "O", "O", "O", "O", "O", "O", "O", "O", "O", "O", "O", "O", "O", "O", "O", "O", "O", "O", "O", "O", "O", "O", "O", "Ho", "Ho", "Ho", "Ho", "Ho", "Ho", "Si", "Si", "Si", "Si", "Si", "Si", "H", "H", "H", "H", "H", "H"], "fractional_positions": [[0.156, 0.703, 0.206], [0.620, 0.277, 0.893], [0.553, 0.850, 0.491], [0.850, 0.491, 0.553], [0.206, 0.156, 0.703], [0.380, 0.723, 0.107], [0.723, 0.107, 0.380], [0.544, 0.835, 0.771], [0.107, 0.380, 0.723], [0.703, 0.206, 0.156], [0.835, 0.771, 0.544], [0.771, 0.544, 0.835], [0.491, 0.553, 0.850], [0.150, 0.509, 0.447], [0.297, 0.794, 0.844], [0.447, 0.150, 0.509], [0.456, 0.165, 0.229], [0.844, 0.297, 0.794], [0.893, 0.620, 0.277], [0.229, 0.456, 0.165], [0.794, 0.844, 0.297], [0.509, 0.447, 0.150], [0.277, 0.893, 0.620], [0.165, 0.229, 0.456], [0.066, 0.594, 0.858], [0.142, 0.934, 0.406], [0.858, 0.066, 0.594], [0.934, 0.406, 0.142], [0.594, 0.858, 0.066], [0.406, 0.142, 0.934], [0.737, 0.649, 0.298], [0.263, 0.351, 0.702], [0.351, 0.702, 0.263], [0.702, 0.263, 0.351], [0.298, 0.737, 0.649], [0.649, 0.298, 0.737], [0.325, 0.428, 0.163], [0.675, 0.572, 0.837], [0.163, 0.325, 0.428], [0.572, 0.837, 0.675], [0.837, 0.675, 0.572], [0.428, 0.163, 0.325]]}

---

<two>
{"formula": "HoSiHO4", "functional": "PBE", "state": "relaxed", "spacegroup": "Pc", "lattice_angstrom": [[7.631, 0.000, -0.127], [0.000, 4.760, 0.000], [-0.134, 0.000, 4.308]], "species": ["O", "O", "O", "O", "O", "O", "O", "O", "H", "H", "Si", "Si", "Ho", "Ho"], "fractional_positions": [[0.506, 0.725, 0.224], [0.006, 0.275, 0.724], [0.831, 0.768, 0.662], [0.038, 0.806, 0.121], [0.538, 0.194, 0.621], [0.700, 0.156, 0.115], [0.331, 0.232, 0.162], [0.200, 0.844, 0.615], [0.633, 0.151, 0.793], [0.133, 0.849, 0.293], [0.012, 0.938, 0.765], [0.512, 0.062, 0.265], [0.278, 0.402, 0.680], [0.778, 0.598, 0.180]]}

---

Which one sits at the top of the stability order? <one> does.

---

<one>
{"formula": "Cu5Ag4", "functional": "PBE", "state": "relaxed", "spacegroup": "Imm2", "lattice_angstrom": [[-1.386, 4.146, 5.688], [1.386, -4.146, 5.688], [1.386, 4.146, -5.688]], "species": ["Ag", "Ag", "Ag", "Ag", "Cu", "Cu", "Cu", "Cu", "Cu"], "fractional_positions": [[0.332, 0.663, 0.669], [0.347, 0.347, 0.000], [0.995, 0.663, 0.331], [0.664, 0.664, 0.000], [0.314, 0.995, 0.319], [0.989, 0.989, 0.000], [0.676, 0.995, 0.681], [0.680, 0.342, 0.339], [0.003, 0.342, 0.661]]}

---

<two>
{"formula": "Cu5Ag4", "functional": "PBE", "state": "relaxed", "spacegroup": "Immm", "lattice_angstrom": [[-1.401, 1.852, 12.637], [1.401, -1.852, 12.637], [1.401, 1.852, -12.637]], "species": ["Cu", "Cu", "Cu", "Cu", "Cu", "Ag", "Ag", "Ag", "Ag"], "fractional_positions": [[0.113, 0.113, 0.000], [0.000, 0.000, 0.000], [0.887, 0.887, 0.000], [0.775, 0.775, 0.000], [0.225, 0.225, 0.000], [0.556, 0.556, 0.000], [0.669, 0.669, 0.000], [0.444, 0.444, 0.000], [0.331, 0.331, 0.000]]}

---

<three>
{"formula": "Cu5Ag4", "functional": "PBE", "state": "relaxed", "spacegroup": "C2/m", "lattice_angstrom": [[4.634, -1.409, 0.000], [4.634, 1.409, 0.000], [-4.229, 0.000, 10.056]], "species": ["Ag", "Ag", "Ag", "Ag", "Cu", "Cu", "Cu", "Cu", "Cu"], "fractional_positions": [[0.667, 0.667, 0.381], [0.342, 0.342, 0.256], [0.333, 0.333, 0.619], [0.658, 0.658, 0.744], [0.984, 0.984, 0.855], [0.663, 0.663, 0.039], [0.016, 0.016, 0.145], [0.000, 0.000, 0.500], [0.337, 0.337, 0.961]]}

---

Which one sits at the top of the stability order? <three> does.

---

<one>
{"formula": "Ho2Os2O5", "functional": "PBE", "state": "relaxed", "spacegroup": "P4/mmm", "lattice_angstrom": [[-1.434, -7.750, -4.929], [-0.906, -1.712, 2.955], [-3.372, 0.936, -0.491]], "species": ["Os", "Os", "Ho", "Ho", "O", "O", "O", "O", "O"], "fractional_positions": [[0.000, 0.000, 0.000], [0.500, 0.000, 0.000], [0.264, 0.500, 0.500], [0.736, 0.500, 0.500], [0.875, 0.000, 0.500], [0.125, 0.000, 0.500], [0.500, 0.500, 0.500], [0.875, 0.500, 0.000], [0.125, 0.500, 0.000]]}

---

<two>
{"formula": "Ho2Os2O5", "functional": "PBE", "state": "relaxed", "spacegroup": "P4/mmm", "lattice_angstrom": [[-3.218, 6.093, -0.537], [-3.311, -1.840, -1.042], [-1.061, -0.228, 3.776]], "species": ["O", "O", "O", "O", "O", "Ho", "Ho", "Os", "Os"], "fractional_positions": [[0.500, 0.500, 0.500], [0.754, 0.000, 0.500], [0.754, 0.500, 0.000], [0.246, 0.000, 0.500], [0.246, 0.500, 0.000], [0.000, 0.000, 0.000], [0.500, 0.000, 0.000], [0.186, 0.500, 0.500], [0.814, 0.500, 0.500]]}

---

Which one sits at the top of the stability order? <two> does.

---

<one>
{"formula": "CsZrAuS3", "functional": "PBE", "state": "relaxed", "spacegroup": "C2/m", "lattice_angstrom": [[-4.706, -6.864, -3.272], [-4.590, -7.662, 0.438], [-7.225, 5.255, 1.356]], "species": ["Zr", "Zr", "S", "S", "S", "S", "S", "S", "Cs", "Cs", "Au", "Au"], "fractional_positions": [[0.848, 0.848, 0.930], [0.152, 0.152, 0.070], [0.314, 0.314, 0.108], [0.500, 0.500, 0.500], [0.674, 0.674, 0.262], [0.000, 0.000, 0.000], [0.326, 0.326, 0.738], [0.686, 0.686, 0.892], [0.145, 0.145, 0.578], [0.855, 0.855, 0.422], [0.536, 0.536, 0.237], [0.464, 0.464, 0.763]]}

---

<two>
{"formula": "CsZrAuS3", "functional": "PBE", "state": "relaxed", "spacegroup": "Pnma", "lattice_angstrom": [[13.966, 0.000, 0.000], [0.000, 3.888, 0.000], [0.000, 0.000, 11.725]], "species": ["S", "S", "S", "S", "S", "S", "S", "S", "S", "S", "S", "S", "Au", "Au", "Au", "Au", "Cs", "Cs", "Cs", "Cs", "Zr", "Zr", "Zr", "Zr"], "fractional_positions": [[0.534, 0.750, 0.734], [0.895, 0.750, 0.513], [0.185, 0.750, 0.243], [0.034, 0.750, 0.766], [0.315, 0.250, 0.743], [0.395, 0.750, 0.987], [0.466, 0.250, 0.266], [0.815, 0.250, 0.757], [0.966, 0.250, 0.234], [0.105, 0.250, 0.487], [0.685, 0.750, 0.257], [0.605, 0.250, 0.013], [0.204, 0.750, 0.746], [0.796, 0.250, 0.254], [0.704, 0.750, 0.754], [0.296, 0.250, 0.246], [0.342, 0.750, 0.495], [0.842, 0.750, 0.005], [0.658, 0.250, 0.505], [0.158, 0.250, 0.995], [0.036, 0.750, 0.361], [0.964, 0.250, 0.639], [0.536, 0.750, 0.139], [0.464, 0.250, 0.861]]}

---

Which one sits at the top of the stability order? <two> does.

---

<one>
{"formula": "TaTlFePd", "functional": "PBE", "state": "relaxed", "spacegroup": "F-43m", "lattice_angstrom": [[0.000, 3.250, 3.250], [3.250, 0.000, 3.250], [3.250, 3.250, 0.000]], "species": ["Pd", "Fe", "Ta", "Tl"], "fractional_positions": [[0.500, 0.500, 0.500], [0.750, 0.750, 0.750], [0.250, 0.250, 0.250], [0.000, 0.000, 0.000]]}

---

<two>
{"formula": "TaTlFePd", "functional": "PBE", "state": "relaxed", "spacegroup": "F-43m", "lattice_angstrom": [[0.000, 3.214, 3.214], [3.214, 0.000, 3.214], [3.214, 3.214, 0.000]], "species": ["Ta", "Fe", "Tl", "Pd"], "fractional_positions": [[0.500, 0.500, 0.500], [0.750, 0.750, 0.750], [0.000, 0.000, 0.000], [0.250, 0.250, 0.250]]}

---

Which one sits at the top of the stability order? <two> does.

---

<one>
{"formula": "AgPbSeO", "functional": "PBE", "state": "relaxed", "spacegroup": "Cmcm", "lattice_angstrom": [[2.667, -1.761, 1.462], [2.534, -0.555, -5.292], [5.102, 5.747, 1.840]], "species": ["Pb", "Pb", "Se", "Se", "Ag", "Ag", "O", "O"], "fractional_positions": [[0.432, 0.750, 0.136], [0.568, 0.250, 0.864], [0.252, 0.250, 0.497], [0.748, 0.750, 0.503], [0.125, 0.750, 0.750], [0.875, 0.250, 0.250], [0.000, 0.000, 0.000], [0.000, 0.500, 0.000]]}

---

<two>
{"formula": "AgPbSeO", "functional": "PBE", "state": "relaxed", "spacegroup": "Cmcm", "lattice_angstrom": [[2.577, 2.716, 0.242], [-1.435, 1.868, -5.692], [-3.493, 5.663, 2.739]], "species": ["O", "O", "Pb", "Pb", "Ag", "Ag", "Se", "Se"], "fractional_positions": [[0.000, 0.000, 0.000], [0.000, 0.500, 0.000], [0.876, 0.250, 0.249], [0.124, 0.750, 0.751], [0.575, 0.250, 0.850], [0.425, 0.750, 0.150], [0.209, 0.250, 0.582], [0.791, 0.750, 0.418]]}

---

Which one sits at the top of the stability order? <one> does.

---

<one>
{"formula": "SrHgSeO", "functional": "PBE", "state": "relaxed", "spacegroup": "Cmcm", "lattice_angstrom": [[3.190, -2.467, 0.236], [-1.744, -2.775, -5.430], [5.363, 3.300, -3.410]], "species": ["Hg", "Hg", "Sr", "Sr", "Se", "Se", "O", "O"], "fractional_positions": [[0.126, 0.750, 0.749], [0.874, 0.250, 0.251], [0.420, 0.750, 0.159], [0.580, 0.250, 0.841], [0.261, 0.250, 0.478], [0.739, 0.750, 0.522], [0.000, 0.500, 0.000], [0.000, 0.000, 0.000]]}

---

<two>
{"formula": "SrHgSeO", "functional": "PBE", "state": "relaxed", "spacegroup": "P4/nmm", "lattice_angstrom": [[-4.814, -2.484, -1.914], [-0.140, -3.334, 4.677], [-3.982, 5.040, 3.473]], "species": ["Se", "Se", "Sr", "Sr", "O", "O", "Hg", "Hg"], "fractional_positions": [[0.750, 0.750, 0.844], [0.250, 0.250, 0.156], [0.250, 0.750, 0.000], [0.750, 0.250, 0.000], [0.750, 0.750, 0.598], [0.250, 0.250, 0.402], [0.250, 0.250, 0.705], [0.750, 0.750, 0.295]]}

---

Which one sits at the top of the stability order? <one> does.

---

<one>
{"formula": "Sc2CuTe3", "functional": "PBE", "state": "relaxed", "spacegroup": "Pnma", "lattice_angstrom": [[4.014, 0.000, 0.000], [0.000, 8.770, 0.000], [0.000, -0.001, 16.621]], "species": ["Te", "Te", "Te", "Te", "Te", "Te", "Te", "Te", "Te", "Te", "Te", "Te", "Sc", "Sc", "Sc", "Sc", "Sc", "Sc", "Sc", "Sc", "Cu", "Cu", "Cu", "Cu"], "fractional_positions": [[0.750, 0.974, 0.596], [0.750, 0.474, 0.903], [0.750, 0.789, 0.214], [0.250, 0.712, 0.714], [0.250, 0.526, 0.097], [0.250, 0.409, 0.576], [0.250, 0.910, 0.924], [0.250, 0.026, 0.404], [0.750, 0.090, 0.076], [0.750, 0.288, 0.286], [0.750, 0.591, 0.424], [0.250, 0.211, 0.786], [0.250, 0.052, 0.216], [0.750, 0.244, 0.474], [0.750, 0.948, 0.784], [0.250, 0.256, 0.974], [0.750, 0.744, 0.026], [0.250, 0.756, 0.526], [0.750, 0.448, 0.716], [0.250, 0.552, 0.284], [0.750, 0.861, 0.365], [0.250, 0.639, 0.865], [0.750, 0.361, 0.135], [0.250, 0.139, 0.635]]}

---

<two>
{"formula": "Sc2CuTe3", "functional": "PBE", "state": "relaxed", "spacegroup": "Pnma", "lattice_angstrom": [[-6.104, -8.629, 0.928], [0.759, -0.118, 3.895], [-11.002, 8.040, 2.387]], "species": ["Cu", "Cu", "Cu", "Cu", "Te", "Te", "Te", "Te", "Te", "Te", "Te", "Te", "Te", "Te", "Te", "Te", "Sc", "Sc", "Sc", "Sc", "Sc", "Sc", "Sc", "Sc"], "fractional_positions": [[0.264, 0.250, 0.275], [0.736, 0.750, 0.725], [0.236, 0.750, 0.775], [0.764, 0.250, 0.225], [0.543, 0.750, 0.604], [0.735, 0.250, 0.853], [0.585, 0.250, 0.099], [0.765, 0.750, 0.353], [0.043, 0.750, 0.896], [0.957, 0.250, 0.104], [0.265, 0.750, 0.147], [0.457, 0.250, 0.396], [0.915, 0.750, 0.599], [0.415, 0.750, 0.901], [0.085, 0.250, 0.401], [0.235, 0.250, 0.647], [0.274, 0.750, 0.472], [0.982, 0.250, 0.746], [0.018, 0.750, 0.254], [0.226, 0.250, 0.972], [0.482, 0.250, 0.754], [0.726, 0.250, 0.528], [0.518, 0.750, 0.246], [0.774, 0.750, 0.028]]}

---

Which one sits at the top of the stability order? <two> does.